[1]
Compound: NaZr3As
Source: the Alexandria database
Functional: PBE-GGA
Structure: relaxed

Cell: 5.121 5.121 5.121 Å, 90.00 90.00 90.00°
Fractional positions:
Zr 0.000 0.000 0.500
Zr 0.500 0.000 0.000
Zr 0.000 0.500 0.000
Na 0.500 0.500 0.500
As 0.000 0.000 0.000

Calculated volume, Å³/cell: 134.31
Symmetry: No. 221
ΔH_f (0 K), eV per atom: 0.1883

---

[2]
Compound: Nd2B7Ru12
Source: the Alexandria database
Functional: PBE-GGA
Structure: relaxed

Cell: 2.923 10.323 10.323 Å, 120.00 90.00 90.00°
Fractional positions:
Ru 0.500 0.526 0.768
Ru 0.000 0.262 0.007
Ru 0.500 0.741 0.087
Ru 0.000 0.993 0.255
Ru 0.000 0.030 0.520
Ru 0.500 0.241 0.474
Ru 0.500 0.232 0.759
Ru 0.000 0.745 0.738
Ru 0.500 0.913 0.653
Ru 0.000 0.490 0.970
Ru 0.000 0.480 0.510
Ru 0.500 0.347 0.259
Nd 0.500 0.000 0.000
Nd 0.000 0.667 0.333
B 0.500 0.907 0.338
B 0.000 0.333 0.667
B 0.500 0.431 0.093
B 0.000 0.211 0.282
B 0.500 0.662 0.569
B 0.000 0.718 0.928
B 0.000 0.072 0.789

Calculated volume, Å³/cell: 269.75
Symmetry: No. 174
ΔH_f (0 K), eV per atom: -0.1240

---

[3]
Compound: KMgTlCu2
Source: the Alexandria database
Functional: PBE-GGA
Structure: relaxed

Cell: 5.119 6.149 5.119 Å, 90.00 90.00 90.00°
Fractional positions:
Tl 0.000 0.000 0.000
K 0.000 0.500 0.000
Cu 0.000 0.000 0.500
Cu 0.500 0.000 0.000
Mg 0.500 0.500 0.500

Calculated volume, Å³/cell: 161.12
Symmetry: No. 123
ΔH_f (0 K), eV per atom: 0.6839

---

[4]
Compound: BiPtO3
Source: the Alexandria database
Functional: PBE-GGA
Structure: relaxed

Cell: 4.199 4.199 4.199 Å, 90.00 90.00 90.00°
Fractional positions:
O 0.000 0.000 0.500
O 0.500 0.000 0.000
O 0.000 0.500 0.000
Pt 0.500 0.500 0.500
Bi 0.000 0.000 0.000

Calculated volume, Å³/cell: 74.02
Formation energy from raw total energies, eV per atom: 0.30
Symmetry: No. 221

---

[5]
Compound: Nd2Ho3In7
Source: the Alexandria database
Functional: PBE-GGA
Structure: relaxed

Cell: 5.337 5.192 13.112 Å, 101.42 90.00 90.00°
Fractional positions:
Ho 0.500 0.649 0.297
Ho 0.500 0.500 0.000
Ho 0.500 0.351 0.703
In 0.000 0.430 0.860
In 0.000 0.000 0.000
In 0.000 0.570 0.140
In 0.000 0.278 0.556
In 0.500 0.074 0.149
In 0.000 0.722 0.444
In 0.500 0.926 0.851
Nd 0.000 0.853 0.707
Nd 0.000 0.147 0.293

Calculated volume, Å³/cell: 356.13
Symmetry: No. 65
ΔH_f (0 K), eV per atom: -0.2072

---

[6]
Compound: Nd6TeP3Se2
Source: the Alexandria database
Functional: PBE-GGA
Structure: relaxed

Cell: 4.211 8.582 9.565 Å, 104.56 102.72 90.00°
Fractional positions:
P 0.500 0.500 0.000
P 0.834 0.168 0.669
P 0.166 0.832 0.331
Nd 0.338 0.406 0.675
Nd 0.662 0.594 0.325
Nd 0.325 0.926 0.650
Nd 0.675 0.074 0.350
Nd 0.004 0.728 0.009
Nd 0.996 0.272 0.991
Se 0.167 0.333 0.335
Se 0.833 0.667 0.665
Te 0.500 0.000 0.000

Calculated volume, Å³/cell: 325.80
Formation energy from raw total energies, eV per atom: -1.70
Symmetry: No. 12